[1]
The following is a PBE calculation of a relaxed SbC3Se crystal, from Alexandria via LeMat-Bulk.

## Properties
The value obtained for the size of the total moment is 0.315 μB/atom. As for the energy relative to the elements, uncorrected: 2947 meV/atom. As for the space group: Pm-3m (221). The calculation puts the calculated density at 5.00 g cm⁻³. Its energy above the most stable polymorph in this dataset is 0.271 eV per atom. The uncorrected energy comes out at -20.5 eV per cell.

```
SbC3Se
1.0
4.283 0.000 0.000
0.000 4.283 0.000
0.000 0.000 4.283
C Se Sb
3 1 1
direct
0.000 0.000 0.500
0.500 0.000 0.000
0.000 0.500 0.000
0.500 0.500 0.500
0.000 0.000 0.000
```

---

[2]
The following is a PBE calculation of a relaxed Tl15Hg2Pb2 crystal, from Alexandria via LeMat-Bulk.

## Properties
The value obtained for the size of the total moment is 0.000 μB/atom. Its calculated formation energy is 0.09 eV per atom. As for the space group: R-3m (166). The calculation puts the calculated density at 10.34 g cm⁻³. The uncorrected energy comes out at -41.8 eV per cell.

```
Tl15Hg2Pb2
1.0
8.742 0.788 4.275
2.992 8.252 4.275
1.023 0.788 9.678
Tl Hg Pb
15 2 2
direct
0.000 0.674 0.326
0.000 0.326 0.674
0.203 0.566 0.566
0.326 0.674 0.000
0.000 0.000 0.500
0.000 0.500 0.000
0.797 0.434 0.434
0.566 0.203 0.566
0.434 0.434 0.797
0.326 0.000 0.674
0.500 0.000 0.000
0.566 0.566 0.203
0.434 0.797 0.434
0.674 0.000 0.326
0.674 0.326 0.000
0.915 0.915 0.915
0.085 0.085 0.085
0.738 0.738 0.738
0.262 0.262 0.262
```

---

[3]
The following is a PBE calculation of a relaxed Pa3AlCu7 crystal, from Alexandria via LeMat-Bulk.

## Properties
The value obtained for the size of the total moment is 0.002 μB/atom. Its calculated formation energy is 0.08 eV per atom. As for the space group: Cmcm (63). The calculation puts the calculated density at 10.25 g cm⁻³. The uncorrected energy comes out at -120.1 eV per cell.

```
Pa3AlCu7
1.0
-0.357 -2.466 -1.728
9.791 0.453 -0.011
0.354 -7.409 10.497
Cu Pa Al
14 6 2
direct
0.269 0.537 0.065
0.625 0.250 0.657
0.375 0.750 0.157
0.493 0.985 0.094
0.731 0.463 0.565
0.416 0.832 0.750
0.731 0.463 0.935
0.507 0.015 0.594
0.269 0.537 0.435
0.584 0.168 0.250
0.625 0.250 0.843
0.507 0.015 0.906
0.493 0.985 0.406
0.375 0.750 0.343
0.884 0.767 0.546
0.116 0.233 0.454
0.116 0.233 0.046
0.747 0.494 0.250
0.884 0.767 0.954
0.253 0.506 0.750
0.970 0.940 0.250
0.030 0.060 0.750
```

---

[4]
The following is a PBE calculation of a relaxed Co2PH2 crystal, from Alexandria via LeMat-Bulk.

## Properties
The value obtained for the size of the total moment is 0.000 μB/atom. As for the space group: I4/mmm (139). The calculation puts the calculated density at 6.70 g cm⁻³. The uncorrected energy comes out at -26.6 eV per cell.

```
Co2PH2
1.0
2.790 0.000 0.000
0.000 2.790 0.000
1.395 1.395 4.803
Co H P
2 2 1
direct
0.634 0.634 0.732
0.366 0.366 0.268
0.750 0.250 0.500
0.250 0.750 0.500
0.000 0.000 0.000
```

---

[5]
The following is a PBE calculation of a relaxed CuSi4W2 crystal, from Alexandria via LeMat-Bulk.

## Properties
The value obtained for the size of the total moment is 0.000 μB/atom. As for the energy relative to the elements, uncorrected: 965 meV/atom. As for the space group: I4/mmm (139). The calculation puts the calculated density at 7.27 g cm⁻³. The uncorrected energy comes out at -44.9 eV per cell.

```
CuSi4W2
1.0
-3.561 0.660 -2.699
2.234 -1.931 -3.418
-2.892 -6.067 -1.447
Si Cu W
4 1 2
direct
0.500 0.000 0.000
0.000 0.500 0.000
0.189 0.189 0.623
0.811 0.811 0.377
0.000 0.000 0.000
0.395 0.395 0.210
0.605 0.605 0.790
```

---

[6]
The following is a PBE calculation of a relaxed Ce2PrSc crystal, from Alexandria via LeMat-Bulk.

## Properties
The value obtained for the size of the total moment is 0.162 μB/atom. Its calculated formation energy is 0.22 eV per atom. As for the space group: R-3m (166). The calculation puts the calculated density at 6.71 g cm⁻³. Its energy above the most stable polymorph in this dataset is 0.104 eV per atom. The uncorrected energy comes out at -22.1 eV per cell.

```
Ce2PrSc
1.0
-0.422 3.227 0.642
-1.424 0.954 2.840
10.253 1.753 6.491
Ce Sc Pr
2 1 1
direct
0.910 0.910 0.269
0.090 0.090 0.731
0.500 0.500 0.500
0.000 0.000 0.000
```

---

[7]
The following is a PBE calculation of a relaxed TbErCo crystal, from Alexandria via LeMat-Bulk.

## Properties
The value obtained for the size of the total moment is 0.217 μB/atom. Its calculated formation energy is -0.12 eV per atom. As for the space group: C2/m (12). The calculation puts the calculated density at 9.02 g cm⁻³. Its energy above the most stable polymorph in this dataset is 0.023 eV per atom. The uncorrected energy comes out at -33.3 eV per cell.

```
TbErCo
1.0
-0.572 -0.057 3.304
2.453 -6.242 0.319
5.433 3.911 -0.691
Er Tb Co
2 2 2
direct
0.312 0.989 0.389
0.566 0.115 0.900
0.568 0.617 0.902
0.310 0.487 0.387
0.938 0.806 0.643
0.939 0.298 0.646
```

---

[8]
The following is a PBE calculation of a relaxed KCu2 crystal, from Alexandria via LeMat-Bulk.

## Properties
The value obtained for the size of the total moment is 0.000 μB/atom. Its calculated formation energy is 1.04 eV per atom. As for the space group: P4/mmm (123). The calculation puts the calculated density at 2.89 g cm⁻³. The uncorrected energy comes out at -6.2 eV per cell.

```
KCu2
1.0
-1.956 -4.417 -3.516
5.172 0.090 -2.990
1.013 -1.801 1.698
Cu K
2 1
direct
0.000 0.500 0.500
0.500 0.000 0.500
0.000 0.000 0.000
```

---

[9]
The following is a PBE calculation of a relaxed DyHo3Hg12 crystal, from Alexandria via LeMat-Bulk.

## Properties
The value obtained for the size of the total moment is 0.000 μB/atom. Its calculated formation energy is -0.31 eV per atom. As for the space group: P4/mmm (123). The calculation puts the calculated density at 13.05 g cm⁻³. The uncorrected energy comes out at -26.9 eV per cell.

```
DyHo3Hg12
1.0
4.505 0.000 0.000
0.000 4.505 0.000
0.000 0.000 19.210
Hg Ho Dy
12 3 1
direct
0.000 0.500 0.875
0.500 0.500 0.750
0.500 0.500 0.500
0.500 0.000 0.625
0.500 0.000 0.875
0.500 0.000 0.125
0.500 0.500 0.000
0.000 0.500 0.625
0.000 0.500 0.125
0.500 0.000 0.375
0.000 0.500 0.375
0.500 0.500 0.250
0.000 0.000 0.500
0.000 0.000 0.250
0.000 0.000 0.750
0.000 0.000 0.000
```

---

[10]
The following is a PBE calculation of a relaxed La2Al2Pt crystal, from Alexandria via LeMat-Bulk.

## Properties
The value obtained for the size of the total moment is 0.000 μB/atom. Its calculated formation energy is -0.66 eV per atom. As for the space group: P4/mbm (127). The calculation puts the calculated density at 7.49 g cm⁻³. The uncorrected energy comes out at -53.3 eV per cell.

```
La2Al2Pt
1.0
-3.581 -1.854 5.484
5.756 -0.449 3.606
-0.460 4.841 1.336
La Al Pt
4 4 2
direct
0.663 0.837 0.500
0.163 0.663 0.500
0.337 0.163 0.500
0.837 0.337 0.500
0.855 0.645 0.000
0.645 0.145 0.000
0.355 0.855 0.000
0.145 0.355 0.000
0.500 0.500 0.000
0.000 0.000 0.000
```

---

[11]
The following is a PBE calculation of a relaxed Sb3C5 crystal, from Alexandria via LeMat-Bulk.

## Properties
The value obtained for the size of the total moment is 0.000 μB/atom. As for the energy relative to the elements, uncorrected: 1445 meV/atom. As for the space group: P4/mmm (123). The calculation puts the calculated density at 5.47 g cm⁻³. Its energy above the most stable polymorph in this dataset is 0.212 eV per atom. The uncorrected energy comes out at -46.9 eV per cell.

```
Sb3C5
1.0
-3.277 0.613 1.283
0.818 -1.823 2.960
3.298 8.536 4.346
Sb C
3 5
direct
0.500 0.500 0.840
0.500 0.500 0.160
0.000 0.000 0.500
0.000 0.000 0.000
0.000 0.000 0.867
0.500 0.500 0.566
0.500 0.500 0.434
0.000 0.000 0.133
```

---

[12]
The following is a PBE calculation of a relaxed AcAsO6 crystal, from Alexandria via LeMat-Bulk.

## Properties
The value obtained for the size of the total moment is 0.501 μB/atom. As for the energy relative to the elements, uncorrected: -1216 meV/atom. As for the space group: R-3m (166). The calculation puts the calculated density at 6.37 g cm⁻³. The uncorrected energy comes out at -48.2 eV per cell.

```
AcAsO6
1.0
-1.269 4.280 -1.568
-0.837 -2.322 -4.036
-4.114 -1.050 2.088
O As Ac
6 1 1
direct
0.223 0.574 0.223
0.777 0.777 0.426
0.574 0.223 0.223
0.223 0.223 0.574
0.426 0.777 0.777
0.777 0.426 0.777
0.500 0.500 0.500
0.000 0.000 0.000
```